# NiHgGeIr GGA-PBE optimized geometry
# Crystal system = cubic
# E = -4.31 eV/atom
data_NiHgGeIr
_chemical_formula_sum 'Ni4 Hg4 Ge4 Ir4'
_space_group_name_H-M_alt 'F -4 3 m'
_space_group_IT_number 216
_space_group_name_Hall 'F -4 2 3'
_cell_length_a 6.368
_cell_length_b 6.368
_cell_length_c 6.368
_cell_angle_alpha 90.00
_cell_angle_beta 90.00
_cell_angle_gamma 90.00
loop_
_atom_site_label
_atom_site_type_symbol
_atom_site_fract_x
_atom_site_fract_y
_atom_site_fract_z
_atom_site_occupancy
Ni1 Ni 0.000 0.000 0.000 1
Hg1 Hg 0.000 0.000 0.500 1
Ge1 Ge 0.250 0.250 0.750 1
Ir1 Ir 0.250 0.250 0.250 1


# KHg3GeS4 GGA-PBE optimized geometry
# Crystal system = cubic
# E = -2.73 eV/atom
data_KHg3GeS4
_chemical_formula_sum 'K1 Hg3 Ge1 S4'
_space_group_name_H-M_alt 'P -4 3 m'
_space_group_IT_number 215
_space_group_name_Hall 'P -4 2 3'
_cell_length_a 6.554
_cell_length_b 6.554
_cell_length_c 6.554
_cell_angle_alpha 90.00
_cell_angle_beta 90.00
_cell_angle_gamma 90.00
loop_
_atom_site_label
_atom_site_type_symbol
_atom_site_fract_x
_atom_site_fract_y
_atom_site_fract_z
_atom_site_occupancy
K1 K 0.000 0.000 0.000 1
Hg1 Hg 0.000 0.500 0.500 1
Ge1 Ge 0.500 0.500 0.500 1
S1 S 0.275 0.275 0.275 1


# KHg3GeS4 GGA-PBE optimized geometry
# Crystal system = monoclinic
# E = -2.83 eV/atom
data_KHg3GeS4
_chemical_formula_sum 'K2 Hg6 Ge2 S8'
_space_group_name_H-M_alt 'P 1 21/m 1'
_space_group_IT_number 11
_cell_length_a 7.083
_cell_length_b 7.707
_cell_length_c 9.723
_cell_angle_alpha 90.00
_cell_angle_beta 100.29
_cell_angle_gamma 90.00
loop_
_space_group_symop_operation_xyz
'x,y,z'
'-x,-y,-z'
'-x,y+1/2,-z'
'x,-y+1/2,z'
loop_
_atom_site_label
_atom_site_type_symbol
_atom_site_fract_x
_atom_site_fract_y
_atom_site_fract_z
_atom_site_occupancy
K1 K 0.153 0.250 0.137 1
Hg1 Hg 0.238 0.552 0.509 1
Hg2 Hg 0.462 0.250 0.759 1
Ge1 Ge 0.029 0.750 0.288 1
S1 S 0.182 0.023 0.775 1
S2 S 0.208 0.750 0.117 1
S3 S 0.399 0.250 0.468 1


What is the E in the third record? -2.83 eV/atom


Which of these has the highest E? number 2


Which of these has the highest E? number 2